1.
CaTlP2: relaxed, GGA-PBEsol.

```
CaTlP2
1.0
3.8381 0.0000 0.0000
0.0000 3.8381 0.0000
0.0000 0.0000 6.2624
Ca Tl P
1 1 2
Cartesian
0.0000 0.0000 0.0000
0.0000 0.0000 3.1312
1.9190 1.9190 1.0873
1.9190 1.9190 5.1751
```

Computed properties:
The energy above the most stable polymorph in this dataset is 0.0 meV/atom. For the formation energy, the calculation gives -0.436 eV per atom. For the mass density, the calculation gives 5515 kg/m3. The crystal system is tetragonal.


2.
Ca3PW: relaxed, GGA-PBEsol.

```
Ca3PW
1.0
5.3682 0.0000 0.0000
0.0000 5.3682 0.0000
0.0000 0.0000 5.3682
Ca P W
3 1 1
Cartesian
0.0000 0.0000 2.6841
0.0000 2.6841 0.0000
2.6841 0.0000 0.0000
0.0000 0.0000 0.0000
2.6841 2.6841 2.6841
```

Computed properties:
The energy above the most stable polymorph in this dataset is 0.0 meV/atom. For the formation energy, the calculation gives 0.603 eV per atom. For the mass density, the calculation gives 3597 kg/m3. The crystal system is cubic.